DFT (GGA-PBE) results for an optimized crystal structure of BeAl3Co.

Results
total moment	0.2	μB per cell
DFT formation energy	0.62	eV/atom
raw total energy	-3.795	eV/atom
space group	Pm-3m, No. 221

a b c (Å): 4.1989 4.1989 4.1989
angles (deg): 90.00 90.00 90.00
Fractional coordinates of all 5 atoms:
1 Be 0.0000 0.0000 0.0000
2 Al 0.0000 0.0000 0.5000
3 Al 0.0000 0.5000 0.0000
4 Al 0.5000 0.0000 0.0000
5 Co 0.5000 0.5000 0.5000